1.
Material: Be2InN2
Method: DFT, PBE-GGA
State: relaxed

Unit cell a=6.8591 b=6.8591 c=2.6503 alpha=90.00 beta=90.00 gamma=90.00
Last column: nearest neighbours and their distance in Å.
Fractional positions:
Be  0.0981  0.5981  0.5000  4 N 1.83, 1 Be 1.90
Be  0.5981  0.9019  0.5000  4 N 1.83, 1 Be 1.90
Be  0.9019  0.4019  0.5000  4 N 1.83, 1 Be 1.90
Be  0.4019  0.0981  0.5000  4 N 1.83, 1 Be 1.90
N  0.4156  0.9156  0.0000  1 N 1.64, 4 Be 1.83
N  0.9156  0.5844  0.0000  1 N 1.64, 4 Be 1.83
N  0.5844  0.0844  0.0000  1 N 1.64, 4 Be 1.83
N  0.0844  0.4156  0.0000  1 N 1.64, 4 Be 1.83
In  0.0000  0.0000  0.0000  2 In 2.65, 4 N 2.91
In  0.5000  0.5000  0.0000  2 In 2.65, 4 N 2.91

Calculated values
excess energy over the best structure of this formula in the dataset = 4.47 eV/f.u.
total DFT energy (no corrections) = -4.720 eV/atom
ΔE_f (raw) = 14.94 kcal/mol of atoms



2.
Material: BeCu2W
Method: DFT, PBE-GGA
State: relaxed

Unit cell a=5.0235 b=5.0235 c=5.0235 alpha=150.09 beta=127.42 gamma=61.68
Last column: nearest neighbours and their distance in Å.
Fractional positions:
Be  0.7663  0.2663  0.5000  2 Cu 2.26, 2 W 2.53
Cu  0.9812  0.9812  0.0000  2 Be 2.26
Cu  0.2380  0.7380  0.5000  4 Cu 2.57-2.59, 4 Be 2.59, 2 W 2.72
W  0.5146  0.5146  0.0000  2 Be 2.53, 6 Cu 2.59-2.72, 2 W 2.59

Calculated values
DFT formation energy = 0.3227 eV per atom
excess energy over the best structure of this formula in the dataset = 1.00 eV/f.u.
total DFT energy (no corrections) = -5.895 eV/atom



3.
Material: Pr3Y2Ho8
Method: DFT, PBE-GGA
State: relaxed

Unit cell a=5.6501 b=7.7323 c=10.7910 alpha=110.99 beta=90.02 gamma=90.00
Last column: nearest neighbours and their distance in Å.
Fractional positions:
Pr  0.5000  0.0000  0.0000  4 Ho 3.15
Pr  0.0000  0.2929  0.0000  1 Pr 3.20, 6 Ho 3.55-3.58
Pr  0.0000  0.7071  0.0000  1 Pr 3.20, 6 Ho 3.55-3.58
Y  0.4995  0.2412  0.4824  8 Ho 3.33-3.54
Y  0.5005  0.7588  0.5176  8 Ho 3.33-3.54
Ho  0.0004  0.6711  0.3421  2 Y 3.33, 4 Ho 3.48
Ho  0.9996  0.3289  0.6579  2 Y 3.33, 4 Ho 3.48
Ho  0.9998  0.1354  0.2708  2 Y 3.54, 4 Pr 3.55-3.93, 7 Ho 3.65-3.93
Ho  0.0002  0.8646  0.7292  2 Y 3.54, 4 Pr 3.55-3.93, 7 Ho 3.65-3.93
Ho  0.4999  0.5993  0.7817  1 Pr 3.15, 3 Ho 3.22-3.48, 2 Y 3.42-3.49
Ho  0.4999  0.1823  0.7817  1 Pr 3.15, 3 Ho 3.22-3.48, 2 Y 3.42-3.49
Ho  0.5001  0.8177  0.2183  1 Pr 3.15, 3 Ho 3.22-3.48, 2 Y 3.42-3.49
Ho  0.5001  0.4007  0.2183  1 Pr 3.15, 3 Ho 3.22-3.48, 2 Y 3.42-3.49

Calculated values
DFT formation energy = 0.2518 eV per atom
excess energy over the best structure of this formula in the dataset = 2.99 eV/f.u.
total DFT energy (no corrections) = -4.663 eV/atom



4.
Material: NdSi3H12
Method: DFT, PBE-GGA
State: relaxed

Unit cell a=6.8713 b=6.8713 c=9.6538 alpha=69.15 beta=69.15 gamma=60.00
Last column: nearest neighbours and their distance in Å.
Fractional positions:
Nd  0.0731  0.0731  0.7806  6 H 2.26-2.29
Nd  0.5731  0.5731  0.2806  6 H 2.26-2.29
Si  0.6761  0.3931  0.0058  4 H 1.50-1.59
Si  0.1761  0.4250  0.5058  4 H 1.50-1.59
Si  0.8931  0.1761  0.5058  4 H 1.50-1.59
Si  0.3931  0.9250  0.0058  4 H 1.50-1.59
Si  0.9250  0.6761  0.0058  4 H 1.50-1.59
Si  0.4250  0.8931  0.5058  4 H 1.50-1.59
H  0.1420  0.1018  0.9864  1 Si 1.57
H  0.2132  0.3408  0.6741  1 Si 1.59
H  0.9678  0.9359  0.4948  1 Si 1.50
H  0.8212  0.4619  0.8495  1 Si 1.54
H  0.3212  0.3674  0.3495  1 Si 1.54
H  0.4678  0.1014  0.9948  1 Si 1.50
H  0.7132  0.2719  0.1741  1 Si 1.59
H  0.9359  0.6014  0.4948  1 Si 1.50
H  0.6420  0.2699  0.4864  1 Si 1.57
H  0.7719  0.2132  0.6741  1 Si 1.59
H  0.9619  0.3212  0.3495  1 Si 1.54
H  0.2699  0.6018  0.4864  1 Si 1.57
H  0.1014  0.4359  0.9948  1 Si 1.50
H  0.7699  0.1420  0.9864  1 Si 1.57
H  0.4619  0.8674  0.8495  1 Si 1.54
H  0.2719  0.8408  0.1741  1 Si 1.59
H  0.8408  0.7132  0.1741  1 Si 1.59
H  0.4359  0.4678  0.9948  1 Si 1.50
H  0.6018  0.6420  0.4864  1 Si 1.57
H  0.8674  0.8212  0.8495  1 Si 1.54
H  0.3674  0.9619  0.3495  1 Si 1.54
H  0.1018  0.7699  0.9864  1 Si 1.57
H  0.3408  0.7719  0.6741  1 Si 1.59
H  0.6014  0.9678  0.4948  1 Si 1.50

Calculated values
total DFT energy (no corrections) = -3.755 eV/atom



5.
Material: CdCu2NiN
Method: DFT, PBE-GGA
State: relaxed

Unit cell a=3.9906 b=3.9906 c=3.8604 alpha=90.00 beta=90.00 gamma=90.00
Last column: nearest neighbours and their distance in Å.
Fractional positions:
Ni  0.0000  0.0000  0.5000  2 N 1.93
N  0.0000  0.0000  0.0000  2 Ni 1.93, 4 Cu 2.00
Cu  0.0000  0.5000  0.0000  2 N 2.00
Cu  0.5000  0.0000  0.0000  2 N 2.00
Cd  0.5000  0.5000  0.5000  8 Cu 2.78, 4 Ni 2.82

Calculated values
total DFT energy (no corrections) = -4.460 eV/atom
ΔE_f (raw) = 4.21 kcal/mol of atoms



6.
Material: TbUPaO6
Method: DFT, PBE-GGA
State: relaxed

Unit cell a=5.7946 b=5.7946 c=9.4847 alpha=90.00 beta=90.00 gamma=120.00
Last column: nearest neighbours and their distance in Å.
Fractional positions:
Tb  0.3333  0.6667  0.2500  6 O 2.31
Tb  0.6667  0.3333  0.7500  6 O 2.31
U  0.6667  0.3333  0.2500  6 O 2.22
U  0.3333  0.6667  0.7500  6 O 2.22
Pa  0.0000  0.0000  0.0000  6 O 2.25
Pa  0.0000  0.0000  0.5000  6 O 2.25
O  0.6803  0.6683  0.1290  1 U 2.22, 1 Pa 2.25, 1 Tb 2.31
O  0.9880  0.3197  0.1290  1 U 2.22, 1 Pa 2.25, 1 Tb 2.31
O  0.3197  0.9880  0.6290  1 U 2.22, 1 Pa 2.25, 1 Tb 2.31
O  0.0120  0.6803  0.8710  1 U 2.22, 1 Pa 2.25, 1 Tb 2.31
O  0.3317  0.3197  0.3710  1 U 2.22, 1 Pa 2.25, 1 Tb 2.31
O  0.9880  0.6683  0.3710  1 U 2.22, 1 Pa 2.25, 1 Tb 2.31
O  0.6683  0.9880  0.8710  1 U 2.22, 1 Pa 2.25, 1 Tb 2.31
O  0.6803  0.0120  0.3710  1 U 2.22, 1 Pa 2.25, 1 Tb 2.31
O  0.0120  0.3317  0.6290  1 U 2.22, 1 Pa 2.25, 1 Tb 2.31
O  0.3317  0.0120  0.1290  1 U 2.22, 1 Pa 2.25, 1 Tb 2.31
O  0.6683  0.6803  0.6290  1 U 2.22, 1 Pa 2.25, 1 Tb 2.31
O  0.3197  0.3317  0.8710  1 U 2.22, 1 Pa 2.25, 1 Tb 2.31

Calculated values
total DFT energy (no corrections) = -9.477 eV/atom
ΔE_f (raw) = -77.20 kcal/mol of atoms



7.
Material: CaMoSe2
Method: DFT, PBE-GGA
State: relaxed

Unit cell a=4.7198 b=4.7198 c=4.7198 alpha=60.00 beta=60.00 gamma=60.00
Last column: nearest neighbours and their distance in Å.
Fractional positions:
Mo  0.5000  0.5000  0.5000  8 Se 2.89
Ca  0.0000  0.0000  0.0000  8 Se 2.89
Se  0.2500  0.2500  0.2500  4 Mo 2.89, 4 Ca 2.89
Se  0.7500  0.7500  0.7500  4 Ca 2.89, 4 Mo 2.89

Calculated values
excess energy over the best structure of this formula in the dataset = 0.88 eV/f.u.
total DFT energy (no corrections) = -5.508 eV/atom
ΔE_f (raw) = -12.86 kcal/mol of atoms



8.
Material: AcCe4As5
Method: DFT, PBE-GGA
State: relaxed

Unit cell a=4.2865 b=6.0879 c=11.3619 alpha=105.54 beta=100.87 gamma=90.00
Last column: nearest neighbours and their distance in Å.
Fractional positions:
Ac  0.0000  0.0000  0.0000  6 As 3.04-3.15
Ce  0.3989  0.3989  0.7978  6 As 3.00-3.05
Ce  0.7973  0.7973  0.5945  6 As 2.96-3.04
Ce  0.2027  0.2027  0.4055  6 As 2.96-3.04
Ce  0.6011  0.6011  0.2022  6 As 3.00-3.05
As  0.6077  0.1077  0.2154  4 Ce 2.96-3.05, 2 Ac 3.15
As  0.8009  0.3009  0.6017  6 Ce 3.00-3.04
As  0.1991  0.6991  0.3983  6 Ce 3.00-3.04
As  0.0000  0.5000  0.0000  2 Ac 3.04, 4 Ce 3.05
As  0.3923  0.8923  0.7846  4 Ce 2.96-3.05, 2 Ac 3.15

Calculated values
DFT formation energy = -1.4078 eV per atom
total DFT energy (no corrections) = -6.517 eV/atom



9.
Material: Mg2HPb
Method: DFT, PBE-GGA
State: relaxed

Unit cell a=3.4829 b=3.4829 c=7.6220 alpha=76.79 beta=76.79 gamma=60.00
Last column: nearest neighbours and their distance in Å.
Fractional positions:
Pb  0.5000  0.5000  0.5000  6 Mg 3.19, 6 Pb 3.48
H  0.0000  0.0000  0.0000  6 Mg 2.34
Mg  0.2790  0.2790  0.1631  3 H 2.34
Mg  0.7210  0.7210  0.8369  3 H 2.34

Calculated values
excess energy over the best structure of this formula in the dataset = 0.18 eV/f.u.
total DFT energy (no corrections) = -2.492 eV/atom



10.
Material: SrAg2SnHg
Method: DFT, PBE-GGA
State: relaxed

Unit cell a=4.6758 b=4.8520 c=6.7083 alpha=111.20 beta=110.40 gamma=90.00
Last column: nearest neighbours and their distance in Å.
Fractional positions:
Sr  0.4453  0.4453  0.8906  4 Hg 3.58-3.93, 8 Ag 3.62-3.86, 4 Sn 3.65
Ag  0.7040  0.2040  0.4080  2 Sn 2.80, 2 Ag 2.88
Ag  0.0585  0.0585  0.1170  1 Sn 2.70, 2 Hg 2.80, 2 Ag 2.88
Sn  0.8254  0.8254  0.6508  3 Ag 2.70-2.80, 2 Hg 2.89
Hg  0.1789  0.6789  0.3579  2 Ag 2.80, 2 Sn 2.89

Calculated values
DFT formation energy = -0.2551 eV per atom
total DFT energy (no corrections) = -2.593 eV/atom



11.
Material: SnGeO2F
Method: DFT, PBE-GGA
State: relaxed

Unit cell a=4.1442 b=4.1442 c=4.2937 alpha=90.00 beta=90.00 gamma=90.00
Last column: nearest neighbours and their distance in Å.
Fractional positions:
Ge  0.5000  0.5000  0.5000  4 F 2.93, 8 O 2.98
Sn  0.0000  0.0000  0.0000  4 O 2.07, 2 F 2.15
O  0.0000  0.5000  0.0000  2 Sn 2.07
O  0.5000  0.0000  0.0000  2 Sn 2.07
F  0.0000  0.0000  0.5000  2 Sn 2.15

Calculated values
total DFT energy (no corrections) = -5.110 eV/atom
ΔE_f (raw) = -23.72 kcal/mol of atoms



12.
Material: Co2Si2Ge
Method: DFT, PBE-GGA
State: relaxed

Unit cell a=6.9328 b=6.9328 c=2.5779 alpha=90.00 beta=90.00 gamma=90.00
Last column: nearest neighbours and their distance in Å.
Fractional positions:
Ge  0.0000  0.0000  0.0000  2 Ge 2.58, 4 Co 2.67
Ge  0.5000  0.5000  0.0000  2 Ge 2.58, 4 Co 2.67
Co  0.3577  0.8577  0.0000  6 Si 2.40-2.41, 2 Co 2.58, 2 Ge 2.67
Co  0.8577  0.6423  0.0000  6 Si 2.40-2.41, 2 Co 2.58, 2 Ge 2.67
Co  0.6423  0.1423  0.0000  6 Si 2.40-2.41, 2 Co 2.58, 2 Ge 2.67
Co  0.1423  0.3577  0.0000  6 Si 2.40-2.41, 2 Co 2.58, 2 Ge 2.67
Si  0.1497  0.6497  0.5000  6 Co 2.40-2.41, 2 Si 2.58
Si  0.6497  0.8503  0.5000  6 Co 2.40-2.41, 2 Si 2.58
Si  0.8503  0.3503  0.5000  6 Co 2.40-2.41, 2 Si 2.58
Si  0.3503  0.1497  0.5000  6 Co 2.40-2.41, 2 Si 2.58

Calculated values
excess energy over the best structure of this formula in the dataset = 0.00 eV/f.u.
total DFT energy (no corrections) = -6.148 eV/atom
ΔE_f (raw) = -4.91 kcal/mol of atoms